# La2FeGe4Pd

La2FeGe4Pd after structural relaxation (PBE, the Open Quantum Materials Database).

Values from the calculation:
**DFT total energy**: -5.92 eV/atom

abc: 4.4004 4.3675 8.8388
angles: 90.00 104.38 90.00
Element x y z (fractional)
La  0.0000  0.0000  0.0000
La  0.2165  0.5000  0.4285
Fe  0.4246  0.5000  0.8454
Ge  0.3642  0.0000  0.7279
Ge  0.5574  0.5000  0.1181
Ge  0.6470  0.0000  0.2855
Ge  0.8656  0.5000  0.7272
Pd  0.7873  0.0000  0.5738

---

# La2FeGe4Pd

La2FeGe4Pd after structural relaxation (PBE, the Open Quantum Materials Database).

Values from the calculation:
**DFT total energy**: -5.92 eV/atom

abc: 4.3731 8.8613 8.8613
angles: 28.74 90.00 90.00
Element x y z (fractional)
La  0.0000  0.0000  0.0000
La  0.5000  0.2139  0.2139
Fe  0.0000  0.7911  0.7911
Ge  0.0000  0.3505  0.3505
Ge  0.0000  0.6545  0.6545
Ge  0.5000  0.5715  0.5715
Ge  0.5000  0.8500  0.8500
Pd  0.5000  0.4270  0.4270

---

# LaPrFe2Ge4

LaPrFe2Ge4 after structural relaxation (PBE, the Open Quantum Materials Database).

Values from the calculation:
**DFT total energy**: -6.16 eV/atom

abc: 4.4454 4.2889 8.3370
angles: 90.00 104.46 90.00
Element x y z (fractional)
La  0.0000  0.0000  0.0000
Pr  0.7565  0.5000  0.5806
Fe  0.2563  0.0000  0.3996
Fe  0.4978  0.5000  0.1811
Ge  0.0655  0.5000  0.2911
Ge  0.3115  0.0000  0.6870
Ge  0.4440  0.5000  0.8916
Ge  0.6901  0.0000  0.2915

---

# LaPrFe2Ge4

LaPrFe2Ge4 after structural relaxation (PBE, the Open Quantum Materials Database).

Values from the calculation:
**DFT total energy**: -6.12 eV/atom

abc: 4.3242 8.6155 8.6155
angles: 29.35 90.00 90.00
Element x y z (fractional)
La  0.0000  0.0000  0.0000
Pr  0.5000  0.2165  0.2165
Fe  0.0000  0.7937  0.7937
Fe  0.5000  0.4230  0.4230
Ge  0.0000  0.3578  0.3578
Ge  0.0000  0.6549  0.6549
Ge  0.5000  0.5626  0.5626
Ge  0.5000  0.8576  0.8576

---

# La2Fe2SiGe

La2Fe2SiGe after structural relaxation (PBE, the Open Quantum Materials Database).

Values from the calculation:
**DFT total energy**: -6.63 eV/atom

abc: 4.1476 4.1476 7.0396
angles: 90.00 90.00 90.00
Element x y z (fractional)
La  0.0000  0.0000  0.0000
La  0.5000  0.5000  0.3793
Fe  0.0000  0.5000  0.6955
Fe  0.5000  0.0000  0.6955
Si  0.5000  0.5000  0.8502
Ge  0.0000  0.0000  0.5200

---

# LiFe6Ge5

LiFe6Ge5 after structural relaxation (PBE, the Open Quantum Materials Database).

Values from the calculation:
**DFT total energy**: -6.42 eV/atom

abc: 14.7639 14.7639 14.7639
angles: 19.51 19.51 19.51
Element x y z (fractional)
Li  0.0878  0.0878  0.0878
Li  0.9122  0.9122  0.9122
Fe  0.0460  0.5463  0.5463
Fe  0.1462  0.6355  0.6355
Fe  0.3645  0.3645  0.8538
Fe  0.3645  0.8538  0.3645
Fe  0.4537  0.4537  0.9540
Fe  0.4537  0.9540  0.4537
Fe  0.5463  0.0460  0.5463
Fe  0.5463  0.5463  0.0460
Fe  0.6355  0.1462  0.6355
Fe  0.6355  0.6355  0.1462
Fe  0.8538  0.3645  0.3645
Fe  0.9540  0.4537  0.4537
Ge  0.0296  0.0296  0.0296
Ge  0.1476  0.1476  0.1476
Ge  0.2409  0.2409  0.2409
Ge  0.3334  0.3334  0.3334
Ge  0.4254  0.4254  0.4254
Ge  0.5746  0.5746  0.5746
Ge  0.6666  0.6666  0.6666
Ge  0.7591  0.7591  0.7591
Ge  0.8524  0.8524  0.8524
Ge  0.9704  0.9704  0.9704

---

# LiFe2Ge

LiFe2Ge after structural relaxation (PBE, the Open Quantum Materials Database).

Values from the calculation:
**DFT total energy**: -5.62 eV/atom

abc: 5.7633 5.7633 5.7633
angles: 90.00 90.00 90.00
Element x y z (fractional)
Li  0.0000  0.0000  0.0000
Li  0.0000  0.0000  0.5000
Li  0.0000  0.5000  0.0000
Li  0.5000  0.0000  0.0000
Fe  0.2572  0.2572  0.2572
Fe  0.2572  0.2572  0.7428
Fe  0.2572  0.7428  0.2572
Fe  0.2572  0.7428  0.7428
Fe  0.7428  0.2572  0.2572
Fe  0.7428  0.2572  0.7428
Fe  0.7428  0.7428  0.2572
Fe  0.7428  0.7428  0.7428
Ge  0.0000  0.5000  0.5000
Ge  0.5000  0.0000  0.5000
Ge  0.5000  0.5000  0.0000
Ge  0.5000  0.5000  0.5000

---

# LiFe2Ge

LiFe2Ge after structural relaxation (PBE, the Open Quantum Materials Database).

Values from the calculation:
**DFT total energy**: -5.62 eV/atom

abc: 5.7683 5.7683 5.7683
angles: 90.00 90.00 90.00
Element x y z (fractional)
Li  0.0000  0.0000  0.0000
Li  0.0000  0.0000  0.5000
Li  0.0000  0.5000  0.0000
Li  0.5000  0.0000  0.0000
Fe  0.2563  0.2563  0.2563
Fe  0.2563  0.2563  0.7437
Fe  0.2563  0.7437  0.2563
Fe  0.2563  0.7437  0.7437
Fe  0.7437  0.2563  0.2563
Fe  0.7437  0.2563  0.7437
Fe  0.7437  0.7437  0.2563
Fe  0.7437  0.7437  0.7437
Ge  0.0000  0.5000  0.5000
Ge  0.5000  0.0000  0.5000
Ge  0.5000  0.5000  0.0000
Ge  0.5000  0.5000  0.5000